VASP calculation (PBE) on crystalline ZrTeS at its relaxed geometry.

The structure in extended XYZ format:
```
3
Lattice="3.824 0.000 0.000 -1.912 3.312 0.000 0.000 0.000 6.968" Properties=species:S:1:pos:R:3 pbc="T T T"
S 0.000 2.208 2.090
Te 0.000 0.000 5.810
Zr 1.912 1.104 0.783
```

Results
Raw total energy   -6.48 eV per atom
Polymorph energy (0 for the lowest one)   0 meV per atom
ΔE_f (raw)   -1.20 eV/atom
Space group   P3m1 (156)